[1]
PSe2: PBEsol geometry, SCAN.

Cell and atoms, written as CIF:
```
data_PSe2
_symmetry_space_group_name_H-M 'C 1 m 1'
_symmetry_Int_Tables_number 8
_symmetry_space_group_name_Hall 'C -2y'
_cell_length_a 10.3678
_cell_length_b 3.3073
_cell_length_c 8.2472
_cell_angle_alpha 90.00
_cell_angle_beta 105.97
_cell_angle_gamma 90.00
loop_
_atom_site_label
_atom_site_type_symbol
_atom_site_fract_x
_atom_site_fract_y
_atom_site_fract_z
P1 P 0.0000 0.0000 0.0000
P2 P 0.0708 0.5000 0.2575
Se1 Se 0.0631 0.0000 0.4709
Se2 Se 0.0778 0.5000 0.8471
Se3 Se 0.2941 0.0000 0.6207
Se4 Se 0.3502 0.0000 0.1167
```

Summary:
Its raw formation energy is 0.7 eV/f.u.

---

[2]
RbTl3Pt: PBEsol geometry, SCAN.

Cell and atoms, written as CIF:
```
data_RbTl3Pt
_symmetry_space_group_name_H-M 'P m -3 m'
_symmetry_Int_Tables_number 221
_symmetry_space_group_name_Hall '-P 4 2 3'
_cell_length_a 5.3900
_cell_length_b 5.3900
_cell_length_c 5.3900
_cell_angle_alpha 90.00
_cell_angle_beta 90.00
_cell_angle_gamma 90.00
loop_
_atom_site_label
_atom_site_type_symbol
_atom_site_fract_x
_atom_site_fract_y
_atom_site_fract_z
Rb1 Rb 0.0000 0.0000 0.0000
Tl1 Tl 0.0000 0.5000 0.5000
Pt1 Pt 0.5000 0.5000 0.5000
```

Summary:
For the formation energy from the elements, the calculation gives -0.09 eV/atom.

---

Theoretical density for every record listed, in sequence, given in g/cm³: 4.6; 9.5.